1.
BaNiO2: single point on PBEsol structure, meta-GGA SCAN.

```
BaNiO2
1.0
4.215 0.000 0.000
2.107 3.650 0.000
2.107 1.217 5.622
O Ni Ba
2 1 1
Direct
0.100 0.100 0.700 O
0.900 0.900 0.300 O
0.000 0.000 0.000 Ni
0.500 0.500 0.500 Ba
```

Summary:
- DOS at the Fermi energy: 0.00 states/eV/f.u.
- Total moment: 0.49 μB per atom

2.
BaNi2P2O8: single point on PBEsol structure, meta-GGA SCAN.

```
BaNi2P2O8
1.0
4.773 0.000 0.000
2.387 4.134 0.000
2.387 1.378 7.750
O Ni Ba P
8 2 1 2
Direct
0.764 0.141 0.656 O
0.639 0.639 0.084 O
0.141 0.440 0.656 O
0.361 0.361 0.916 O
0.236 0.859 0.344 O
0.440 0.764 0.656 O
0.859 0.560 0.344 O
0.560 0.236 0.344 O
0.169 0.169 0.494 Ni
0.831 0.831 0.506 Ni
0.000 0.000 0.000 Ba
0.427 0.427 0.720 P
0.573 0.573 0.280 P
```

Summary:
- DOS at the Fermi energy: 0.00 states/eV/f.u.
- Total moment: 0.30 μB per atom

3.
BaNiP2O7: single point on PBEsol structure, meta-GGA SCAN.

```
BaNiP2O7
1.0
5.259 -0.010 -0.018
-0.664 7.280 0.007
-0.252 -1.619 7.402
O P Ba Ni
14 4 2 2
Direct
0.076 0.885 0.790 O
0.605 0.853 0.412 O
0.703 0.533 0.250 O
0.590 0.893 0.798 O
0.410 0.107 0.202 O
0.395 0.147 0.588 O
0.072 0.780 0.391 O
0.773 0.628 0.587 O
0.928 0.220 0.609 O
0.297 0.467 0.750 O
0.924 0.115 0.210 O
0.195 0.349 0.075 O
0.805 0.651 0.925 O
0.227 0.372 0.413 O
0.795 0.697 0.399 P
0.205 0.303 0.601 P
0.814 0.770 0.783 P
0.186 0.230 0.217 P
0.689 0.277 0.934 Ba
0.311 0.723 0.066 Ba
0.322 0.877 0.597 Ni
0.678 0.123 0.403 Ni
```

Summary:
- DOS at the Fermi energy: 0.00 states/eV/f.u.
- Total moment: 0.18 μB per atom

4.
BaPr2NiO5: single point on PBEsol structure, meta-GGA SCAN.

```
BaPr2NiO5
1.0
3.808 0.000 0.000
0.000 5.924 0.000
-1.904 -2.962 5.836
O Pr Ba Ni
5 2 1 1
Direct
0.500 0.000 0.000 O
0.142 0.901 0.284 O
0.858 0.099 0.716 O
0.858 0.616 0.716 O
0.142 0.384 0.284 O
0.701 0.201 0.403 Pr
0.299 0.799 0.597 Pr
0.500 0.500 0.000 Ba
0.000 0.000 0.000 Ni
```

Summary:
- Total moment: 0.22 μB per atom

It is found that the raw formation energy values, taken in the order of the records, are -1.895 -2.442 -2.598 -2.949 eV/atom.
It is found that the total DFT energy (no corrections) values, taken in the order of the records, are -18.9417 -13.4074 -13.5196 -22.2305 eV/atom.